(1)
A relaxed structure of AcNdY4, computed with GGA-PBE.

Values from the calculation:
- DFT total energy: -34.52 eV for the cell shown
- DFT formation energy: 3.5 kJ per mole of atoms
- D(E_F): 8.93 states/eV/cell

Cell: 3.681 9.651 12.109 Å, 148.73 90.12 100.92°
Sites, in units of the cell vectors:
Ac  0.000  0.000  0.000
Y  0.838  0.677  0.506
Y  0.162  0.323  0.494
Y  0.670  0.340  0.001
Y  0.330  0.660  0.999
Nd  0.500  0.000  0.500


(2)
A relaxed structure of AcNd2Y8, computed with GGA-PBE.

Values from the calculation:
- DFT total energy: -64.00 eV for the cell shown
- DFT formation energy: 11.9 kJ per mole of atoms
- D(E_F): 16.18 states/eV/cell

Cell: 5.570 8.306 9.614 Å, 115.59 106.84 90.00°
Sites, in units of the cell vectors:
Y  0.000  0.296  0.000
Y  0.355  0.150  0.711
Y  0.645  0.850  0.289
Y  0.355  0.561  0.711
Y  0.161  0.161  0.322
Y  0.645  0.439  0.289
Y  0.839  0.839  0.678
Y  0.000  0.704  0.000
Nd  0.199  0.699  0.398
Nd  0.801  0.301  0.602
Ac  0.500  0.000  0.000


(3)
A relaxed structure of Ac2Nd4Y5, computed with GGA-PBE.

Values from the calculation:
- DFT total energy: -58.19 eV for the cell shown
- DFT formation energy: 12.4 kJ per mole of atoms
- D(E_F): 16.72 states/eV/cell

Cell: 3.695 9.428 12.615 Å, 112.50 98.42 90.00°
Sites, in units of the cell vectors:
Y  0.131  0.189  0.261
Y  0.267  0.871  0.534
Y  0.500  0.000  0.000
Y  0.869  0.811  0.739
Y  0.733  0.129  0.466
Nd  0.043  0.374  0.086
Nd  0.317  0.468  0.633
Nd  0.683  0.532  0.367
Nd  0.957  0.626  0.914
Ac  0.112  0.801  0.224
Ac  0.888  0.199  0.776


(4)
A relaxed structure of Ac2NdY, computed with GGA-PBE.

Values from the calculation:
- DFT total energy: -19.06 eV for the cell shown
- DFT formation energy: 9.3 kJ per mole of atoms
- D(E_F): 7.67 states/eV/cell

Cell: 6.052 6.052 6.052 Å, 60.00 60.00 60.00°
Sites, in units of the cell vectors:
Ac  0.750  0.750  0.750
Ac  0.250  0.250  0.250
Y  0.500  0.500  0.500
Nd  0.000  0.000  0.000


Copy entry 2 word for word.
A relaxed structure of AcNd2Y8, computed with GGA-PBE.

Values from the calculation:
- DFT total energy: -64.00 eV for the cell shown
- DFT formation energy: 11.9 kJ per mole of atoms
- D(E_F): 16.18 states/eV/cell

Cell: 5.570 8.306 9.614 Å, 115.59 106.84 90.00°
Sites, in units of the cell vectors:
Y  0.000  0.296  0.000
Y  0.355  0.150  0.711
Y  0.645  0.850  0.289
Y  0.355  0.561  0.711
Y  0.161  0.161  0.322
Y  0.645  0.439  0.289
Y  0.839  0.839  0.678
Y  0.000  0.704  0.000
Nd  0.199  0.699  0.398
Nd  0.801  0.301  0.602
Ac  0.500  0.000  0.000